# 1
This record from Alexandria describes a relaxed LaPm2Ni6 crystal. The functional is PBE.

## Properties
DOS(E_F) in states/eV/cell: 10.4
Symmetry: P6/mmm (191)
Formation energy in eV/atom: -0.328
Uncorrected energy in eV/atom: -5.79

a = 3.975 Å, b = 6.989 Å, c = 6.989 Å
α = 120.00°, β = 90.00°, γ = 90.00°
Fractional coordinates of all 9 atoms:
Ni (0.500, 0.335, 0.335)
Ni (0.500, 0.665, 0.000)
Pm (0.000, 0.333, 0.667)
La (0.000, 0.000, 0.000)
Ni (0.500, 0.335, 0.000)
Ni (0.500, 0.000, 0.335)
Ni (0.500, 0.665, 0.665)
Ni (0.500, 0.000, 0.665)
Pm (0.000, 0.667, 0.333)

# 2
This record from Alexandria describes a relaxed LiMgUCl6 crystal. The functional is PBE.

## Properties
Symmetry: P-31c (163)
ΔE_f (raw) in meV per atom: -1712
Uncorrected energy in eV/atom: -4.59

a = 6.698 Å, b = 6.698 Å, c = 11.883 Å
α = 90.00°, β = 90.00°, γ = 120.00°
Fractional coordinates of all 18 atoms:
Mg (0.667, 0.333, 0.250)
Cl (0.647, 0.674, 0.627)
Cl (0.647, 0.973, 0.873)
Li (0.000, 0.000, 0.500)
Cl (0.674, 0.027, 0.373)
Li (0.000, 0.000, 0.000)
Cl (0.326, 0.973, 0.627)
Cl (0.326, 0.353, 0.873)
Cl (0.973, 0.647, 0.373)
Cl (0.674, 0.647, 0.127)
Cl (0.027, 0.353, 0.627)
Cl (0.353, 0.326, 0.373)
U (0.667, 0.333, 0.750)
Cl (0.353, 0.027, 0.127)
Cl (0.973, 0.326, 0.127)
U (0.333, 0.667, 0.250)
Cl (0.027, 0.674, 0.873)
Mg (0.333, 0.667, 0.750)

# 3
This record from Alexandria describes a relaxed PmAg5Te4 crystal. The functional is PBE.

## Properties
DOS(E_F) in states/eV/cell: 0.9
Symmetry: Immm (71)
ΔE_f (raw) in meV per atom: -356
Uncorrected energy in eV/atom: -3.51

a = 4.555 Å, b = 8.381 Å, c = 8.884 Å
α = 118.14°, β = 104.85°, γ = 90.00°
Fractional coordinates of all 10 atoms:
Ag (0.500, 0.500, 0.000)
Te (0.000, 0.271, 0.000)
Ag (0.815, 0.021, 0.630)
Ag (0.185, 0.390, 0.370)
Ag (0.815, 0.610, 0.630)
Te (0.717, 0.217, 0.435)
Te (0.283, 0.783, 0.565)
Pm (0.500, 0.000, 0.000)
Te (0.000, 0.729, 0.000)
Ag (0.185, 0.979, 0.370)

# 4
This record from Alexandria describes a relaxed Mg2Fe2Co crystal. The functional is PBE.

## Properties
DOS(E_F) in states/eV/cell: 4.6
Distance to the lowest polymorph of the same formula in eV/atom: 0.2199
Symmetry: I4/mmm (139)
Formation energy in eV/atom: 0.465
Uncorrected energy in eV/atom: -4.98

a = 7.694 Å, b = 7.694 Å, c = 7.694 Å
α = 155.42°, β = 155.42°, γ = 35.04°
Fractional coordinates of all 5 atoms:
Fe (0.250, 0.750, 0.500)
Co (0.000, 0.000, 0.000)
Mg (0.596, 0.596, 0.000)
Fe (0.750, 0.250, 0.500)
Mg (0.404, 0.404, 0.000)

# 5
This record from Alexandria describes a relaxed DyZn2CuNi4 crystal. The functional is PBE.

## Properties
DOS(E_F) in states/eV/cell: 3.8
Symmetry: R-3m (166)
Formation energy in eV/atom: -0.204
Uncorrected energy in eV/atom: -4.50

a = 4.100 Å, b = 4.100 Å, c = 8.036 Å
α = 75.22°, β = 75.22°, γ = 60.00°
Fractional coordinates of all 8 atoms:
Ni (0.875, 0.875, 0.376)
Zn (0.762, 0.762, 0.715)
Zn (0.238, 0.238, 0.285)
Ni (0.399, 0.399, 0.803)
Ni (0.601, 0.601, 0.197)
Dy (0.000, 0.000, 0.000)
Ni (0.125, 0.125, 0.624)
Cu (0.500, 0.500, 0.500)

# 6
This record from Alexandria describes a relaxed Li3MgHg3 crystal. The functional is PBE.

## Properties
DOS(E_F) in states/eV/cell: 9.3
Distance to the lowest polymorph of the same formula in eV/atom: 0.3405
Symmetry: Pm-3n (223)
Formation energy in eV/atom: 0.096
Uncorrected energy in eV/atom: -1.08

a = 7.228 Å, b = 7.228 Å, c = 7.228 Å
α = 90.00°, β = 90.00°, γ = 90.00°
Fractional coordinates of all 14 atoms:
Li (0.000, 0.750, 0.500)
Mg (0.500, 0.500, 0.500)
Li (0.000, 0.250, 0.500)
Hg (0.250, 0.000, 0.500)
Hg (0.750, 0.000, 0.500)
Mg (0.000, 0.000, 0.000)
Hg (0.000, 0.500, 0.750)
Hg (0.500, 0.250, 0.000)
Li (0.250, 0.500, 0.000)
Li (0.500, 0.000, 0.750)
Li (0.750, 0.500, 0.000)
Hg (0.000, 0.500, 0.250)
Hg (0.500, 0.750, 0.000)
Li (0.500, 0.000, 0.250)

# 7
This record from Alexandria describes a relaxed NdPuFe crystal. The functional is PBE.

## Properties
DOS(E_F) in states/eV/cell: 24.1
Distance to the lowest polymorph of the same formula in eV/atom: 0.0000
Symmetry: P2_1/c (14)
Formation energy in eV/atom: 0.036
Uncorrected energy in eV/atom: -9.15

a = 6.903 Å, b = 6.543 Å, c = 7.133 Å
α = 90.00°, β = 113.05°, γ = 90.00°
Fractional coordinates of all 12 atoms:
Nd (0.734, 0.171, 0.901)
Fe (0.474, 0.557, 0.819)
Pu (0.283, 0.821, 0.622)
Fe (0.526, 0.443, 0.181)
Pu (0.717, 0.179, 0.378)
Pu (0.217, 0.321, 0.878)
Nd (0.266, 0.829, 0.099)
Fe (0.026, 0.057, 0.681)
Nd (0.234, 0.329, 0.401)
Pu (0.783, 0.679, 0.122)
Fe (0.974, 0.943, 0.319)
Nd (0.766, 0.671, 0.599)

# 8
This record from Alexandria describes a relaxed Na2ZrBiBr crystal. The functional is PBE.

## Properties
DOS(E_F) in states/eV/cell: 4.9
Distance to the lowest polymorph of the same formula in eV/atom: 0.3574
Symmetry: P4/mmm (123)
ΔE_f (raw) in meV per atom: 404
Uncorrected energy in eV/atom: -2.94

a = 6.677 Å, b = 5.445 Å, c = 6.677 Å
α = 90.00°, β = 90.00°, γ = 90.00°
Fractional coordinates of all 5 atoms:
Na (0.500, 0.000, 0.000)
Br (0.500, 0.500, 0.500)
Zr (0.000, 0.000, 0.000)
Na (0.000, 0.000, 0.500)
Bi (0.000, 0.500, 0.000)

# 9
This record from Alexandria describes a relaxed CuAg2Pb crystal. The functional is PBE.

## Properties
DOS(E_F) in states/eV/cell: 1.3
Symmetry: C2/m (12)
Formation energy in eV/atom: 0.252
Uncorrected energy in eV/atom: -3.12

a = 5.919 Å, b = 5.919 Å, c = 3.244 Å
α = 73.78°, β = 73.78°, γ = 121.08°
Fractional coordinates of all 4 atoms:
Ag (0.000, 0.000, 0.000)
Cu (0.500, 0.000, 0.500)
Ag (0.500, 0.500, 0.000)
Pb (0.000, 0.500, 0.500)

# 10
This record from Alexandria describes a relaxed WCSCl2 crystal. The functional is PBE.

## Properties
DOS(E_F) in states/eV/cell: 3.8
Distance to the lowest polymorph of the same formula in eV/atom: 0.4713
Symmetry: P4/mmm (123)
ΔE_f (raw) in meV per atom: 1754
Uncorrected energy in eV/atom: -4.25

a = 4.176 Å, b = 4.467 Å, c = 4.176 Å
α = 90.00°, β = 90.00°, γ = 90.00°
Fractional coordinates of all 5 atoms:
Cl (0.500, 0.000, 0.000)
C (0.000, 0.000, 0.000)
Cl (0.000, 0.000, 0.500)
S (0.000, 0.500, 0.000)
W (0.500, 0.500, 0.500)

# 11
This record from Alexandria describes a relaxed La2TmZn2In2 crystal. The functional is PBE.

## Properties
DOS(E_F) in states/eV/cell: 4.6
Symmetry: R-3m (166)
Formation energy in eV/atom: -0.306
Uncorrected energy in eV/atom: -3.50

a = 4.723 Å, b = 4.723 Å, c = 9.768 Å
α = 76.01°, β = 76.01°, γ = 60.00°
Fractional coordinates of all 7 atoms:
Zn (0.611, 0.611, 0.167)
La (0.129, 0.129, 0.614)
In (0.730, 0.730, 0.810)
La (0.871, 0.871, 0.386)
Zn (0.389, 0.389, 0.833)
In (0.270, 0.270, 0.190)
Tm (0.000, 0.000, 0.000)

# 12
This record from Alexandria describes a relaxed Ca2Al2TlRh5 crystal. The functional is PBE.

## Properties
DOS(E_F) in states/eV/cell: 7.6
Symmetry: P4/mbm (127)
Formation energy in eV/atom: -0.559
Uncorrected energy in eV/atom: -5.62

a = 3.309 Å, b = 10.351 Å, c = 10.351 Å
α = 90.00°, β = 90.00°, γ = 90.00°
Fractional coordinates of all 20 atoms:
Rh (0.500, 0.066, 0.789)
Ca (0.000, 0.675, 0.175)
Rh (0.500, 0.789, 0.934)
Tl (0.000, 0.500, 0.500)
Al (0.000, 0.624, 0.876)
Ca (0.000, 0.325, 0.825)
Tl (0.000, 0.000, 0.000)
Al (0.000, 0.876, 0.376)
Rh (0.500, 0.934, 0.211)
Rh (0.500, 0.000, 0.500)
Rh (0.500, 0.566, 0.711)
Ca (0.000, 0.175, 0.325)
Al (0.000, 0.124, 0.624)
Al (0.000, 0.376, 0.124)
Rh (0.500, 0.211, 0.066)
Ca (0.000, 0.825, 0.675)
Rh (0.500, 0.711, 0.434)
Rh (0.500, 0.434, 0.289)
Rh (0.500, 0.500, 0.000)
Rh (0.500, 0.289, 0.566)

# 13
This record from Alexandria describes a relaxed Pr2DyHo6Sc3 crystal. The functional is PBE.

## Properties
DOS(E_F) in states/eV/cell: 17.6
Symmetry: C2/m (12)
Formation energy in eV/atom: 0.048
Uncorrected energy in eV/atom: -5.00

a = 6.073 Å, b = 6.073 Å, c = 11.515 Å
α = 95.04°, β = 95.04°, γ = 120.00°
Fractional coordinates of all 12 atoms:
Ho (0.913, 0.580, 0.738)
Ho (0.245, 0.245, 0.738)
Pr (0.667, 0.333, 0.000)
Pr (0.333, 0.667, 0.000)
Ho (0.087, 0.420, 0.262)
Sc (0.166, 0.834, 0.500)
Sc (0.500, 0.500, 0.500)
Sc (0.834, 0.166, 0.500)
Ho (0.755, 0.755, 0.262)
Ho (0.580, 0.913, 0.738)
Ho (0.420, 0.087, 0.262)
Dy (0.000, 0.000, 0.000)

# 14
This record from Alexandria describes a relaxed Ba2AcSi3Au12 crystal. The functional is PBE.

## Properties
DOS(E_F) in states/eV/cell: 5.7
Symmetry: R-3m (166)
ΔE_f (raw) in meV per atom: -232
Uncorrected energy in eV/atom: -3.76

a = 8.740 Å, b = 8.740 Å, c = 8.740 Å
α = 60.97°, β = 60.97°, γ = 60.97°
Fractional coordinates of all 18 atoms:
Au (0.314, 0.870, 0.314)
Au (0.130, 0.686, 0.686)
Ac (0.000, 0.000, 0.000)
Si (0.500, 0.000, 0.000)
Au (0.140, 0.568, 0.140)
Au (0.568, 0.140, 0.140)
Ba (0.600, 0.600, 0.600)
Si (0.000, 0.500, 0.000)
Ba (0.400, 0.400, 0.400)
Au (0.314, 0.314, 0.870)
Au (0.432, 0.860, 0.860)
Au (0.686, 0.130, 0.686)
Au (0.870, 0.314, 0.314)
Au (0.140, 0.140, 0.568)
Au (0.686, 0.686, 0.130)
Au (0.860, 0.432, 0.860)
Au (0.860, 0.860, 0.432)
Si (0.000, 0.000, 0.500)

# 15
This record from Alexandria describes a relaxed Ca2TaPb crystal. The functional is PBE.

## Properties
DOS(E_F) in states/eV/cell: 5.2
Symmetry: Imm2 (44)
Formation energy in eV/atom: 0.380
Uncorrected energy in eV/atom: -4.51

a = 6.673 Å, b = 6.673 Å, c = 6.673 Å
α = 150.37°, β = 130.29°, γ = 58.94°
Fractional coordinates of all 4 atoms:
Ta (0.273, 0.773, 0.500)
Ca (0.020, 0.020, 0.000)
Pb (0.480, 0.480, 0.000)
Ca (0.727, 0.227, 0.500)

# 16
This record from Alexandria describes a relaxed AcSi2Pd8 crystal. The functional is PBE.

## Properties
DOS(E_F) in states/eV/cell: 4.8
Symmetry: P4/mmm (123)
ΔE_f (raw) in meV per atom: -385
Uncorrected energy in eV/atom: -5.52

a = 5.552 Å, b = 5.552 Å, c = 7.500 Å
α = 90.00°, β = 90.00°, γ = 90.00°
Fractional coordinates of all 11 atoms:
Pd (0.754, 0.754, 0.807)
Ac (0.500, 0.500, 0.500)
Si (0.500, 0.000, 0.000)
Si (0.000, 0.500, 0.000)
Pd (0.754, 0.754, 0.193)
Pd (0.246, 0.246, 0.193)
Pd (0.246, 0.246, 0.807)
Pd (0.754, 0.246, 0.193)
Pd (0.246, 0.754, 0.193)
Pd (0.246, 0.754, 0.807)
Pd (0.754, 0.246, 0.807)

# 17
This record from Alexandria describes a relaxed MgPb3I6Br2 crystal. The functional is PBE.

## Properties
DOS(E_F) in states/eV/cell: 0.0
Symmetry: C2/m (12)
ΔE_f (raw) in meV per atom: -776
Uncorrected energy in eV/atom: -2.89

a = 7.092 Å, b = 8.964 Å, c = 9.020 Å
α = 119.80°, β = 93.20°, γ = 90.00°
Fractional coordinates of all 12 atoms:
I (0.251, 0.681, 0.833)
I (0.749, 0.848, 0.167)
Pb (0.500, 0.500, 0.500)
Br (0.751, 0.331, 0.663)
I (0.256, 0.143, 0.286)
Pb (0.000, 0.500, 0.000)
I (0.749, 0.319, 0.167)
Pb (0.500, 0.000, 0.500)
Mg (0.500, 0.000, 0.000)
I (0.744, 0.857, 0.714)
Br (0.249, 0.669, 0.337)
I (0.251, 0.152, 0.833)

# 18
This record from Alexandria describes a relaxed FeNi2Ru crystal. The functional is PBE.

## Properties
DOS(E_F) in states/eV/cell: 4.4
Symmetry: Cmmm (65)
Formation energy in eV/atom: 0.066
Uncorrected energy in eV/atom: -7.26

a = 4.504 Å, b = 4.504 Å, c = 2.547 Å
α = 90.00°, β = 90.00°, γ = 110.62°
Fractional coordinates of all 4 atoms:
Ni (0.500, 0.500, 0.000)
Fe (0.000, 0.500, 0.500)
Ni (0.000, 0.000, 0.000)
Ru (0.500, 0.000, 0.500)

# 19
This record from Alexandria describes a relaxed Nd5Dy2Er crystal. The functional is PBE.

## Properties
DOS(E_F) in states/eV/cell: 23.6
Symmetry: Pbam (55)
Formation energy in eV/atom: 0.017
Uncorrected energy in eV/atom: -4.68

a = 5.128 Å, b = 7.242 Å, c = 14.496 Å
α = 90.00°, β = 90.00°, γ = 90.00°
Fractional coordinates of all 16 atoms:
Dy (0.500, 0.749, 0.376)
Nd (0.000, 0.498, 0.248)
Nd (0.000, 0.502, 0.752)
Dy (0.500, 0.249, 0.124)
Nd (0.500, 0.752, 0.624)
Dy (0.500, 0.751, 0.876)
Er (0.000, 0.000, 0.500)
Nd (0.000, 0.998, 0.252)
Nd (0.000, 0.002, 0.748)
Er (0.000, 0.500, 0.000)
Nd (0.500, 0.248, 0.376)
Dy (0.500, 0.251, 0.624)
Nd (0.000, 0.000, 0.000)
Nd (0.000, 0.500, 0.500)
Nd (0.500, 0.748, 0.124)
Nd (0.500, 0.252, 0.876)

# 20
This record from Alexandria describes a relaxed Sc10Te3Pb3 crystal. The functional is PBE.

## Properties
DOS(E_F) in states/eV/cell: 14.1
Symmetry: P-62m (189)
ΔE_f (raw) in meV per atom: -657
Uncorrected energy in eV/atom: -5.90

a = 5.962 Å, b = 8.542 Å, c = 8.542 Å
α = 120.00°, β = 90.00°, γ = 90.00°
Fractional coordinates of all 16 atoms:
Sc (0.753, 0.667, 0.333)
Sc (0.000, 0.000, 0.245)
Sc (0.000, 0.755, 0.755)
Sc (0.500, 0.000, 0.758)
Te (0.000, 0.000, 0.615)
Sc (0.247, 0.667, 0.333)
Pb (0.500, 0.390, 0.000)
Sc (0.000, 0.245, 0.000)
Sc (0.500, 0.758, 0.000)
Sc (0.500, 0.242, 0.242)
Pb (0.500, 0.610, 0.610)
Te (0.000, 0.615, 0.000)
Te (0.000, 0.385, 0.385)
Pb (0.500, 0.000, 0.390)
Sc (0.247, 0.333, 0.667)
Sc (0.753, 0.333, 0.667)